Material: FeHg3F
Method: DFT, GGA+U
State: relaxed

Unit cell a=5.236 b=5.236 c=5.236 alpha=90.00 beta=90.00 gamma=90.00
Site moments in Bohr magnetons follow the coordinates.
Element x y z (fractional)
F: 0.500 0.500 0.500  0.03
Hg: 0.000 0.500 0.000  0.03
Hg: 0.000 0.000 0.500  0.03
Hg: 0.500 0.000 0.000  -0.02
Fe: 0.000 0.000 0.000  3.17

## Properties
Total magnetization: 3.37 μB/f.u.
E_tot: -1.674 eV per atom
Energy relative to the lowest polymorph listed for this composition: 0.0 kJ per mole of atoms
Density: 7.8 g/cm3
Crystal system: cubic